Model a:
## Al2CrGaS (GGA-PBE)

Data for a geometry-optimized Al2CrGaS structure. Values from VASP.

## Properties
Its density of states at the Fermi level is 2.5 states/eV per cell.

Geometry as Quantum ESPRESSO input:
```
&SYSTEM
  ibrav = 0, nat = 5, ntyp = 4
/
ATOMIC_SPECIES
Cr 52.00 Cr.upf
S 32.06 S.upf
Al 26.98 Al.upf
Ga 69.72 Ga.upf
ATOMIC_POSITIONS angstrom
Cr 0.000 2.468 0.000
S 2.352 2.468 2.352
Al 0.000 0.000 2.352
Al 2.352 0.000 0.000
Ga 0.000 0.000 0.000
CELL_PARAMETERS angstrom
4.704 0.000 0.000
0.000 4.937 0.000
0.000 0.000 4.704
```

---

Model b:
## Al2CrGaS (GGA-PBE)

Data for a geometry-optimized Al2CrGaS structure. Values from VASP.

## Properties
Its density of states at the Fermi level is 2.7 states/eV per cell.

Geometry as Quantum ESPRESSO input:
```
&SYSTEM
  ibrav = 0, nat = 5, ntyp = 4
/
ATOMIC_SPECIES
Cr 52.00 Cr.upf
S 32.06 S.upf
Al 26.98 Al.upf
Ga 69.72 Ga.upf
ATOMIC_POSITIONS angstrom
Cr 0.000 0.000 0.000
S -1.677 -3.067 2.325
Al 1.090 -1.111 1.876
Al -2.057 0.170 1.296
Ga -0.710 -2.126 -0.847
CELL_PARAMETERS angstrom
-4.114 0.341 2.592
-1.419 -4.253 -1.694
2.180 -2.221 3.751
```

---

Verdict on stability: model a comes out at the bottom.

---

Model a:
## Al2Cr2Ge (GGA-PBE)

Data for a geometry-optimized Al2Cr2Ge structure. Values from VASP.

## Properties
Its density of states at the Fermi level is 5.2 states/eV per cell.

Geometry as Quantum ESPRESSO input:
```
&SYSTEM
  ibrav = 0, nat = 10, ntyp = 3
/
ATOMIC_SPECIES
Cr 52.00 Cr.upf
Ge 72.64 Ge.upf
Al 26.98 Al.upf
ATOMIC_POSITIONS angstrom
Cr -3.839 -0.363 4.257
Cr -4.844 2.734 3.384
Cr -2.537 2.790 0.927
Cr -1.532 -0.307 1.800
Ge 0.000 0.000 0.000
Ge -3.188 1.214 2.592
Al -1.169 -0.093 4.420
Al -3.414 1.934 5.517
Al -2.563 4.087 3.282
Al -0.317 2.061 2.185
CELL_PARAMETERS angstrom
-3.441 4.959 0.527
-2.934 -2.532 4.657
2.644 1.567 2.518
```

---

Model b:
## Al2Cr2Ge (GGA-PBE)

Data for a geometry-optimized Al2Cr2Ge structure. Values from VASP.

## Properties
Its density of states at the Fermi level is 5.4 states/eV per cell.

Geometry as Quantum ESPRESSO input:
```
&SYSTEM
  ibrav = 0, nat = 10, ntyp = 3
/
ATOMIC_SPECIES
Cr 52.00 Cr.upf
Ge 72.64 Ge.upf
Al 26.98 Al.upf
ATOMIC_POSITIONS angstrom
Cr 1.111 4.358 1.633
Cr 4.358 5.381 1.633
Cr 5.381 2.135 1.633
Cr 2.135 1.111 1.633
Ge 0.000 0.000 0.000
Ge 3.246 3.246 0.000
Al 2.396 5.642 0.000
Al 5.642 4.096 0.000
Al 4.096 0.850 0.000
Al 0.850 2.396 0.000
CELL_PARAMETERS angstrom
6.492 0.000 0.000
0.000 6.492 0.000
0.000 0.000 3.266
```

---

Verdict on stability: model b comes out at the bottom.

---

Model a:
## AlCrH2 (GGA-PBE)

Data for a geometry-optimized AlCrH2 structure. Values from VASP.

## Properties
Its density of states at the Fermi level is 1.8 states/eV per cell.

Geometry as Quantum ESPRESSO input:
```
&SYSTEM
  ibrav = 0, nat = 4, ntyp = 3
/
ATOMIC_SPECIES
Cr 52.00 Cr.upf
Al 26.98 Al.upf
H 1.01 H.upf
ATOMIC_POSITIONS angstrom
Cr 2.888 1.667 2.372
Al 0.000 0.000 0.000
H 1.444 0.834 2.893
H 4.332 2.501 1.851
CELL_PARAMETERS angstrom
2.888 0.000 0.000
1.444 2.501 0.000
1.444 0.834 4.745
```

---

Model b:
## AlCrH2 (GGA-PBE)

Data for a geometry-optimized AlCrH2 structure. Values from VASP.

## Properties
Its density of states at the Fermi level is 1.3 states/eV per cell.

Geometry as Quantum ESPRESSO input:
```
&SYSTEM
  ibrav = 0, nat = 4, ntyp = 3
/
ATOMIC_SPECIES
Al 26.98 Al.upf
Cr 52.00 Cr.upf
H 1.01 H.upf
ATOMIC_POSITIONS angstrom
Al -0.539 -2.504 1.495
Cr 0.977 -0.379 2.595
H 0.173 -1.706 3.203
H -0.621 -0.612 2.185
CELL_PARAMETERS angstrom
-0.896 1.699 2.523
-0.808 -2.679 1.517
2.934 -0.247 1.209
```

---

Verdict on stability: model b comes out at the bottom.

---

Model a:
## AlCrH2 (GGA-PBE)

Data for a geometry-optimized AlCrH2 structure. Values from VASP.

## Properties
Its density of states at the Fermi level is 1.6 states/eV per cell.

Geometry as Quantum ESPRESSO input:
```
&SYSTEM
  ibrav = 0, nat = 4, ntyp = 3
/
ATOMIC_SPECIES
Cr 52.00 Cr.upf
Al 26.98 Al.upf
H 1.01 H.upf
ATOMIC_POSITIONS angstrom
Cr 2.586 2.586 2.586
Al 0.000 0.000 0.000
H 1.293 1.293 1.293
H 3.879 3.879 3.879
CELL_PARAMETERS angstrom
0.000 2.586 2.586
2.586 0.000 2.586
2.586 2.586 0.000
```

---

Model b:
## AlCrH2 (GGA-PBE)

Data for a geometry-optimized AlCrH2 structure. Values from VASP.

## Properties
Its density of states at the Fermi level is 3.7 states/eV per cell.

Geometry as Quantum ESPRESSO input:
```
&SYSTEM
  ibrav = 0, nat = 8, ntyp = 3
/
ATOMIC_SPECIES
Cr 52.00 Cr.upf
Al 26.98 Al.upf
H 1.01 H.upf
ATOMIC_POSITIONS angstrom
Cr 0.000 0.000 0.000
Cr -3.568 -2.134 2.695
Al -2.457 -1.387 0.083
Al -2.482 -4.157 1.053
H -2.812 -0.883 1.848
H -1.442 -2.956 0.067
H -2.640 -3.542 2.811
H -5.207 -5.202 2.769
CELL_PARAMETERS angstrom
-3.543 0.636 1.726
-1.372 -3.409 -1.559
-1.136 -3.518 3.581
```

---

Verdict on stability: model a comes out at the bottom.

---

Model a:
## Al3CrH (GGA-PBE)

Data for a geometry-optimized Al3CrH structure. Values from VASP.

## Properties
Its density of states at the Fermi level is 4.2 states/eV per cell.

Geometry as Quantum ESPRESSO input:
```
&SYSTEM
  ibrav = 0, nat = 5, ntyp = 3
/
ATOMIC_SPECIES
Cr 52.00 Cr.upf
Al 26.98 Al.upf
H 1.01 H.upf
ATOMIC_POSITIONS angstrom
Cr 0.000 0.000 0.000
Al -0.952 0.127 2.195
Al 2.161 0.496 0.908
Al -0.406 2.340 -0.311
H 0.802 2.963 2.792
CELL_PARAMETERS angstrom
-0.813 4.681 -0.623
-1.904 0.253 4.389
4.321 0.992 1.817
```

---

Model b:
## Al3CrH (GGA-PBE)

Data for a geometry-optimized Al3CrH structure. Values from VASP.

## Properties
Its density of states at the Fermi level is 0.8 states/eV per cell.

Geometry as Quantum ESPRESSO input:
```
&SYSTEM
  ibrav = 0, nat = 5, ntyp = 3
/
ATOMIC_SPECIES
Cr 52.00 Cr.upf
Al 26.98 Al.upf
H 1.01 H.upf
ATOMIC_POSITIONS angstrom
Cr -2.902 1.767 0.158
Al -1.138 0.450 -1.536
Al -1.591 -0.522 1.026
Al -0.173 1.839 0.667
H 0.000 0.000 0.000
CELL_PARAMETERS angstrom
-0.346 3.678 1.334
-2.277 0.900 -3.071
-3.182 -1.044 2.053
```

---

Verdict on stability: model a comes out at the bottom.

---

Model a:
## HfAl3Cr (GGA-PBE)

Data for a geometry-optimized HfAl3Cr structure. Values from VASP.

## Properties
Its density of states at the Fermi level is 5.5 states/eV per cell.

Geometry as Quantum ESPRESSO input:
```
&SYSTEM
  ibrav = 0, nat = 10, ntyp = 3
/
ATOMIC_SPECIES
Hf 178.49 Hf.upf
Al 26.98 Al.upf
Cr 52.00 Cr.upf
ATOMIC_POSITIONS angstrom
Hf -2.953 -2.347 0.345
Hf -0.246 -4.799 -2.086
Al 1.687 -4.371 0.124
Al -4.887 -2.776 -1.865
Al -0.816 -4.543 0.815
Al -2.383 -2.604 -2.555
Al 0.063 -2.399 -0.370
Al -3.262 -4.748 -1.371
Cr 0.000 0.000 0.000
Cr -0.557 -1.029 -2.276
CELL_PARAMETERS angstrom
-1.114 -2.057 -4.551
3.855 -4.681 1.172
-5.941 -0.409 1.639
```

---

Model b:
## HfAl3Cr (GGA-PBE)

Data for a geometry-optimized HfAl3Cr structure. Values from VASP.

## Properties
Its density of states at the Fermi level is 2.6 states/eV per cell.

Geometry as Quantum ESPRESSO input:
```
&SYSTEM
  ibrav = 0, nat = 5, ntyp = 3
/
ATOMIC_SPECIES
Cr 52.00 Cr.upf
Hf 178.49 Hf.upf
Al 26.98 Al.upf
ATOMIC_POSITIONS angstrom
Cr 0.000 0.000 0.000
Hf 2.250 2.250 2.250
Al 0.000 2.250 0.000
Al 0.000 0.000 2.250
Al 2.250 0.000 0.000
CELL_PARAMETERS angstrom
4.500 0.000 0.000
0.000 4.500 0.000
0.000 0.000 4.500
```

---

Verdict on stability: model b comes out at the bottom.